A geometry-optimized La2DyNi structure. Source: Alexandria via LeMat-Bulk, functional GGA-PBE.

The structure in POSCAR format:
```
La2DyNi
1.0
3.728 0.000 0.000
1.864 3.229 0.000
1.864 1.076 10.474
Dy Ni La
1 1 2
Cartesian
0.000 0.000 0.000
3.728 2.153 5.237
1.864 1.076 7.022
5.592 3.229 3.451
```

Properties
Polymorph energy (0 for the lowest one) (eV/f.u.): 1.166
DFT total energy (Ha/atom): -0.1822
Calculated formation energy (meV per atom): 101



A geometry-optimized La2DyNi structure. Source: Alexandria via LeMat-Bulk, functional GGA-PBE.

The structure in POSCAR format:
```
La2DyNi
1.0
3.877 0.000 0.000
1.939 3.358 0.000
1.939 1.119 9.348
La Dy Ni
2 1 1
Cartesian
1.939 1.119 7.603
1.939 1.119 1.731
3.877 2.239 4.686
3.877 2.239 0.001
```

Properties
Polymorph energy (0 for the lowest one) (eV/f.u.): 0.555
DFT total energy (Ha/atom): -0.1878
Calculated formation energy (meV per atom): -52



A geometry-optimized LaDy4Ni4 structure. Source: Alexandria via LeMat-Bulk, functional GGA-PBE.

The structure in POSCAR format:
```
LaDy4Ni4
1.0
-5.296 -0.501 -1.803
0.242 -8.485 1.647
-2.871 1.475 8.022
Dy La Ni
8 2 8
Cartesian
-4.047 -0.585 1.665
-4.688 -1.598 7.098
-7.020 -4.247 5.934
-4.868 -7.020 5.863
-2.146 -0.683 4.856
-2.247 -5.820 1.104
-1.473 -6.421 4.475
-5.211 -3.672 0.464
0.000 0.000 0.000
-3.963 -3.756 3.932
-4.955 -6.343 0.663
-4.180 -4.445 6.606
-1.334 -0.794 2.293
-4.061 -6.399 3.112
-2.412 -6.322 6.995
-7.149 -1.564 5.778
-2.629 -2.961 1.639
-4.980 -1.218 4.373
```

Properties
DFT total energy (Ha/atom): -0.1997
Calculated formation energy (meV per atom): -271



A geometry-optimized LaDy3Ni structure. Source: Alexandria via LeMat-Bulk, functional GGA-PBE.

The structure in POSCAR format:
```
LaDy3Ni
1.0
-4.491 2.726 1.033
-1.522 -3.810 3.440
2.486 2.592 3.971
La Ni Dy
1 1 3
Cartesian
-1.763 0.754 4.222
0.000 0.000 0.000
-2.245 1.363 0.516
1.243 1.296 1.986
-0.761 -1.905 1.720
```

Properties
DFT total energy (Ha/atom): -0.1833
Calculated formation energy (meV per atom): -85



A geometry-optimized La2DyNi structure. Source: Alexandria via LeMat-Bulk, functional GGA-PBE.

The structure in POSCAR format:
```
La2DyNi
1.0
6.442 0.000 0.000
0.000 7.063 0.000
0.000 0.000 10.181
Ni La Dy
4 8 4
Cartesian
3.611 0.838 7.636
6.052 4.369 7.636
0.390 2.694 2.545
2.831 6.225 2.545
5.309 2.295 5.784
2.088 1.237 4.397
1.133 4.769 0.694
4.354 5.826 5.784
4.354 5.826 9.488
2.088 1.237 0.694
1.133 4.769 4.397
5.309 2.295 9.488
5.411 0.258 2.545
1.031 6.805 7.636
4.252 3.790 2.545
2.190 3.273 7.636
```

Properties
Polymorph energy (0 for the lowest one) (eV/f.u.): 0.000
DFT total energy (Ha/atom): -0.1929
Calculated formation energy (meV per atom): -190



A geometry-optimized LaDy2Ni structure. Source: Alexandria via LeMat-Bulk, functional GGA-PBE.

The structure in POSCAR format:
```
LaDy2Ni
1.0
-2.304 2.755 0.230
-3.532 -0.570 -0.394
-2.840 -0.884 10.298
Dy La Ni
2 1 1
Cartesian
-6.137 1.642 3.322
-2.539 -0.341 6.812
0.000 0.000 0.000
-4.338 0.651 5.067
```

Properties
Polymorph energy (0 for the lowest one) (eV/f.u.): 1.004
DFT total energy (Ha/atom): -0.1819
Calculated formation energy (meV per atom): 29



A geometry-optimized La3DyNi8 structure. Source: Alexandria via LeMat-Bulk, functional GGA-PBE.

The structure in POSCAR format:
```
La3DyNi8
1.0
5.171 0.000 0.000
2.586 4.479 0.000
2.586 1.493 8.463
Ni La Dy
8 3 1
Cartesian
5.171 4.474 1.630
7.757 4.479 7.937
6.460 2.241 1.630
7.757 3.000 5.778
3.882 2.241 1.630
2.586 1.493 3.690
9.037 5.218 5.778
6.477 5.218 5.778
5.171 2.986 4.227
7.757 4.479 0.007
5.171 2.986 7.412
7.757 4.479 3.169
```

Properties
DFT total energy (Ha/atom): -0.2138
Calculated formation energy (meV per atom): -348



A geometry-optimized LaDyNi2 structure. Source: Alexandria via LeMat-Bulk, functional GGA-PBE.

The structure in POSCAR format:
```
LaDyNi2
1.0
-3.794 3.081 -0.354
-2.719 1.003 3.952
0.240 4.431 2.079
Dy La Ni
1 1 2
Cartesian
0.000 0.000 0.000
-3.137 4.257 2.838
-1.568 2.129 1.419
-4.705 6.386 4.258
```

Properties
Polymorph energy (0 for the lowest one) (eV/f.u.): 0.372
DFT total energy (Ha/atom): -0.2044
Calculated formation energy (meV per atom): -289



A geometry-optimized LaDy2Ni structure. Source: Alexandria via LeMat-Bulk, functional GGA-PBE.

The structure in POSCAR format:
```
LaDy2Ni
1.0
-1.494 2.859 1.252
-1.868 0.292 -2.898
-6.467 -4.986 3.666
La Ni Dy
1 1 2
Cartesian
-4.915 -0.917 1.010
-1.681 1.576 -0.823
-5.315 -4.097 3.013
-1.152 -0.888 0.653
```

Properties
Polymorph energy (0 for the lowest one) (eV/f.u.): 0.175
DFT total energy (Ha/atom): -0.1895
Calculated formation energy (meV per atom): -179



A geometry-optimized LaDy2Ni9 structure. Source: Alexandria via LeMat-Bulk, functional GGA-PBE.

The structure in POSCAR format:
```
LaDy2Ni9
1.0
5.015 0.000 0.000
2.507 4.343 0.000
2.507 1.448 8.135
Ni La Dy
9 1 2
Cartesian
5.015 1.443 6.094
5.015 2.895 4.067
3.757 2.169 2.041
2.507 1.448 0.012
6.272 2.169 2.041
3.757 3.621 6.094
7.522 4.343 8.123
5.015 4.347 2.041
6.272 3.621 6.094
0.000 0.000 0.000
7.522 4.343 3.416
2.507 1.448 4.719
```

Properties
DFT total energy (Ha/atom): -0.2169
Calculated formation energy (meV per atom): -389



A geometry-optimized La2DyNi9 structure. Source: Alexandria via LeMat-Bulk, functional GGA-PBE.

The structure in POSCAR format:
```
La2DyNi9
1.0
4.993 0.000 0.000
2.496 4.324 0.000
2.496 1.441 8.373
Ni La Dy
9 2 1
Cartesian
3.749 2.164 1.985
2.496 1.441 0.017
3.749 3.601 6.388
6.236 2.164 1.985
4.993 4.319 1.985
6.236 3.601 6.388
4.993 2.883 4.187
4.993 1.446 6.388
7.489 4.324 8.356
2.496 1.441 4.917
7.489 4.324 3.456
0.000 0.000 0.000
```

Properties
DFT total energy (Ha/atom): -0.2163
Calculated formation energy (meV per atom): -345



A geometry-optimized LaDyNi2 structure. Source: Alexandria via LeMat-Bulk, functional GGA-PBE.

The structure in POSCAR format:
```
LaDyNi2
1.0
3.443 0.000 0.000
0.000 3.443 0.000
0.000 0.000 6.966
Ni La Dy
2 1 1
Cartesian
0.000 0.000 1.581
0.000 0.000 5.385
1.721 1.721 3.483
1.721 1.721 0.000
```

Properties
Polymorph energy (0 for the lowest one) (eV/f.u.): 0.307
DFT total energy (Ha/atom): -0.2050
Calculated formation energy (meV per atom): -306